# NaSr5Tl3 PBE relaxed
# Calculated total energy in eV per atom: -2.133
# Magnetic moment in μB/cell: 0.0
# Volume in Å³/cell: 681.7
data_NaSr5Tl3
_symmetry_space_group_name_H-M 'P 63/m c m'
_symmetry_Int_Tables_number 193
_symmetry_space_group_name_Hall '-P 6c 2'
_cell_length_a 10.3489
_cell_length_b 10.3489
_cell_length_c 7.3491
_cell_angle_alpha 90.00
_cell_angle_beta 90.00
_cell_angle_gamma 120.00
loop_
_atom_site_label
_atom_site_type_symbol
_atom_site_fract_x
_atom_site_fract_y
_atom_site_fract_z
Na1 Na 0.0000 0.0000 0.0000
Sr1 Sr 0.0000 0.3072 0.2500
Sr2 Sr 0.3333 0.6667 0.0000
Tl1 Tl 0.0000 0.3646 0.7500